{"formula": "RhS2Br", "functional": "PBE", "state": "optimized geometry", "polymorph_energy_mev_per_atom": 74.3, "sg": "P1", "raw_formation_energy_ev_per_atom": -0.260, "cell": [[3.650, 0.000, -0.002], [0.580, 8.360, -0.007], [-2.188, 4.016, 6.101]], "species": ["S", "S", "S", "S", "Rh", "Rh", "Br", "Br"], "fractional_positions": [[0.709, 0.347, 0.127], [0.902, 0.814, 0.816], [0.503, 0.868, 0.527], [0.438, 0.242, 0.514], [0.196, 0.511, 0.158], [0.962, 0.070, 0.499], [0.730, 0.665, 0.262], [0.575, 0.297, 0.810]]}